Entry 1:
Here is a geometry-optimized Be2HgMoPt structure from the Alexandria database. Energies are from PBE.

Calculated values
**Space-group type**: No. 123
**Crystal system**: tetragonal
**Formation enthalpy at 0 K**: 614 meV/atom

abc: 4.2624 4.9718 4.2624
angles: 90.00 90.00 90.00
Positions (direct):
Be1 0.0000 0.0000 0.5000
Be2 0.5000 0.0000 0.0000
Mo1 0.0000 0.5000 0.0000
Hg1 0.5000 0.5000 0.5000
Pt1 0.0000 0.0000 0.0000


Entry 2:
Here is a geometry-optimized BeRe2HgMo structure from the Alexandria database. Energies are from PBE.

Calculated values
**Space-group type**: No. 123
**Crystal system**: tetragonal
**Formation enthalpy at 0 K**: 931 meV/atom

abc: 4.2259 4.2259 4.2888
angles: 90.00 90.00 90.00
Positions (direct):
Re1 0.0000 0.5000 0.0000
Re2 0.5000 0.0000 0.0000
Mo1 0.0000 0.0000 0.5000
Hg1 0.5000 0.5000 0.5000
Be1 0.0000 0.0000 0.0000


Entry 3:
Here is a geometry-optimized BeHgMo2S structure from the Alexandria database. Energies are from PBE.

Calculated values
**Space-group type**: No. 123
**Crystal system**: tetragonal
**E_form (uncorrected)**: 0.969 eV/atom

abc: 4.5663 3.7710 4.5663
angles: 90.00 90.00 90.00
Site moments in Bohr magnetons follow the coordinates.
Positions (direct):
S1 0.0000 0.5000 0.0000  -0.01
Be1 0.0000 0.0000 0.0000  0.00
Mo1 0.0000 0.0000 0.5000  0.28
Mo2 0.5000 0.0000 0.0000  0.30
Hg1 0.5000 0.5000 0.5000  0.00


Entry 4:
Here is a geometry-optimized BeSiHg2Mo structure from the Alexandria database. Energies are from PBE.

Calculated values
**Space-group type**: No. 123
**Crystal system**: tetragonal
**E_form (uncorrected)**: 1.287 eV/atom

abc: 4.8881 4.8881 4.7455
angles: 90.00 90.00 90.00
Site moments in Bohr magnetons follow the coordinates.
Positions (direct):
Be1 0.5000 0.5000 0.5000  -0.06
Mo1 0.0000 0.0000 0.5000  1.76
Si1 0.0000 0.0000 0.0000  -0.01
Hg1 0.0000 0.5000 0.0000  0.02
Hg2 0.5000 0.0000 0.0000  0.02